# 1
Crystalline NaNb2Pt at its relaxed geometry, computed with GGA-PBE.

Summary:
Formation energy: 500.9 meV/atom
Total magnetization: 0.0 μB per formula unit
Volume: 326 Å³ per cell

Geometry as CIF:
```
data_NaNb2Pt
_chemical_formula_sum 'Na4 Nb8 Pt4'
_cell_length_a 7.738
_cell_length_b 7.738
_cell_length_c 5.441
_cell_angle_alpha 90.00
_cell_angle_beta 90.00
_cell_angle_gamma 90.00
_space_group_name_H-M_alt 'I -4 2 d'
_space_group_IT_number 122
_space_group_name_Hall 'I -4 2bw'
loop_
_atom_site_label
_atom_site_type_symbol
_atom_site_fract_x
_atom_site_fract_y
_atom_site_fract_z
Na1 Na 0.000 0.000 0.000
Nb1 Nb 0.203 0.750 0.625
Pt1 Pt 0.000 0.000 0.500
```

=====

# 2
Crystalline LuVRu2 at its relaxed geometry, computed with GGA-PBE.

Summary:
Formation energy: -373.7 meV/atom
Total magnetization: 0.0 μB per formula unit
Volume: 64 Å³ per cell

Geometry as CIF:
```
data_LuVRu2
_chemical_formula_sum 'Lu1 V1 Ru2'
_cell_length_a 3.128
_cell_length_b 3.128
_cell_length_c 6.524
_cell_angle_alpha 90.00
_cell_angle_beta 90.00
_cell_angle_gamma 90.00
_space_group_name_H-M_alt 'P 4/m m m'
_space_group_IT_number 123
_space_group_name_Hall '-P 4 2'
loop_
_atom_site_label
_atom_site_type_symbol
_atom_site_fract_x
_atom_site_fract_y
_atom_site_fract_z
Lu1 Lu 0.000 0.000 0.000
V1 V 0.000 0.000 0.500
Ru1 Ru 0.500 0.500 0.281
```

=====

# 3
Crystalline Pr2Be4Rh5 at its relaxed geometry, computed with GGA-PBE.

Summary:
Formation energy: -627.4 meV/atom
Total magnetization: 0.0 μB per formula unit
Volume: 684 Å³ per cell

Geometry as CIF:
```
data_Pr2Be4Rh5
_chemical_formula_sum 'Pr8 Be16 Rh20'
_cell_length_a 5.752
_cell_length_b 9.628
_cell_length_c 12.359
_cell_angle_alpha 90.00
_cell_angle_beta 90.00
_cell_angle_gamma 90.00
_space_group_name_H-M_alt 'F m m m'
_space_group_IT_number 69
_space_group_name_Hall '-F 2 2'
loop_
_atom_site_label
_atom_site_type_symbol
_atom_site_fract_x
_atom_site_fract_y
_atom_site_fract_z
Pr1 Pr 0.000 0.000 0.137
Be1 Be 0.000 0.164 0.372
Rh1 Rh 0.000 0.000 0.500
Rh2 Rh 0.250 0.250 0.000
Rh3 Rh 0.250 0.250 0.250
```

=====

# 4
Crystalline TaTcP2 at its relaxed geometry, computed with GGA-PBE.

Summary:
Formation energy: -443.6 meV/atom
Total magnetization: 0.0 μB per formula unit
Volume: 56 Å³ per cell

Geometry as CIF:
```
data_TaTcP2
_chemical_formula_sum 'Ta1 Tc1 P2'
_cell_length_a 4.294
_cell_length_b 4.294
_cell_length_c 3.022
_cell_angle_alpha 90.00
_cell_angle_beta 90.00
_cell_angle_gamma 90.00
_space_group_name_H-M_alt 'P 4/m m m'
_space_group_IT_number 123
_space_group_name_Hall '-P 4 2'
loop_
_atom_site_label
_atom_site_type_symbol
_atom_site_fract_x
_atom_site_fract_y
_atom_site_fract_z
Ta1 Ta 0.000 0.000 0.000
Tc1 Tc 0.500 0.500 0.000
P1 P 0.000 0.500 0.500
```